--- A ---
Below is a relaxed Ba2CuSe2 crystal, with properties calculated at the PBE-GGA level.

Calculated values
Its size of the total moment is 0.00 μB per cell. The value obtained for the density of states at the Fermi level is 3.6 states/eV/cell.

Cell lengths 8.5997, 8.5997, 4.2902 Å; angles 90.00, 90.00, 90.00 degrees
Fractional coordinates of all 10 atoms:
Cu1 0.0000 0.0000 0.0000
Cu2 0.5000 0.5000 0.0000
Ba1 0.1542 0.6542 0.5000
Ba2 0.6542 0.8458 0.5000
Ba3 0.8458 0.3458 0.5000
Ba4 0.3458 0.1542 0.5000
Se1 0.3439 0.8439 0.0000
Se2 0.8439 0.6561 0.0000
Se3 0.6561 0.1561 0.0000
Se4 0.1561 0.3439 0.0000

***

--- B ---
Below is a relaxed Ba2CuSe2 crystal, with properties calculated at the PBE-GGA level.

Calculated values
Its size of the total moment is 0.00 μB per cell. The value obtained for the density of states at the Fermi level is 2.9 states/eV/cell.

Cell lengths 6.5239, 6.5239, 6.5485 Å; angles 60.12, 60.12, 90.00 degrees
Fractional coordinates of all 5 atoms:
Cu1 0.0000 0.0000 0.0000
Ba1 0.7500 0.2500 0.5000
Ba2 0.2500 0.7500 0.5000
Se1 0.2479 0.2479 0.5043
Se2 0.7521 0.7521 0.4957

***

The winner here is B, beating the second structure by 43 meV per atom.

***

--- A ---
Below is a relaxed Ba8CuSi16 crystal, with properties calculated at the PBE-GGA level.

Calculated values
Its size of the total moment is 0.00 μB per cell. The value obtained for the density of states at the Fermi level is 5.3 states/eV/cell.

Cell lengths 6.6485, 9.6606, 11.5253 Å; angles 87.32, 87.96, 84.60 degrees
Fractional coordinates of all 25 atoms:
Ba1 0.7506 0.9994 0.6508
Ba2 0.2500 0.5099 0.1940
Ba3 0.2927 0.9789 0.3224
Ba4 0.6691 0.4702 0.8110
Ba5 0.7829 0.8447 0.0807
Ba6 0.1866 0.6360 0.5882
Ba7 0.2684 0.1711 0.9183
Ba8 0.7320 0.3472 0.4178
Cu1 0.7799 0.0468 0.3022
Si1 0.7478 0.4059 0.1099
Si2 0.2310 0.0965 0.5889
Si3 0.2154 0.6417 0.9110
Si4 0.8460 0.8220 0.3820
Si5 0.7680 0.1957 0.9900
Si6 0.2295 0.3104 0.4638
Si7 0.2885 0.8278 0.0349
Si8 0.6787 0.6809 0.5272
Si9 0.9540 0.1948 0.1648
Si10 0.0360 0.3047 0.6478
Si11 0.4767 0.8051 0.8488
Si12 0.5800 0.6763 0.3386
Si13 0.1151 0.8954 0.8498
Si14 0.8957 0.7287 0.8159
Si15 0.5766 0.2020 0.1703
Si16 0.3987 0.2918 0.6458

***

--- B ---
Below is a relaxed Ba8CuSi16 crystal, with properties calculated at the PBE-GGA level.

Calculated values
Its size of the total moment is 0.00 μB per cell. The value obtained for the density of states at the Fermi level is 10.8 states/eV/cell.

Cell lengths 6.6580, 8.7197, 12.3727 Å; angles 89.55, 89.18, 90.94 degrees
Fractional coordinates of all 25 atoms:
Ba1 0.7133 0.9980 0.7235
Ba2 0.2659 0.4994 0.2157
Ba3 0.2360 0.9958 0.2814
Ba4 0.7308 0.5100 0.7798
Ba5 0.7309 0.8464 0.0895
Ba6 0.2049 0.6770 0.5509
Ba7 0.2338 0.1729 0.9141
Ba8 0.7273 0.3414 0.4158
Cu1 0.0219 0.0647 0.5101
Si1 0.7684 0.4443 0.0744
Si2 0.3833 0.0559 0.5298
Si3 0.0918 0.5677 0.9785
Si4 0.7155 0.9534 0.4499
Si5 0.7422 0.2123 0.9674
Si6 0.2331 0.3029 0.4696
Si7 0.2246 0.8063 0.0515
Si8 0.6998 0.7057 0.5400
Si9 0.9207 0.2120 0.1383
Si10 0.0492 0.2724 0.6396
Si11 0.4118 0.7701 0.8875
Si12 0.6415 0.7222 0.3527
Si13 0.0565 0.8001 0.8656
Si14 0.2292 0.5653 0.7976
Si15 0.5589 0.2167 0.1366
Si16 0.4086 0.2867 0.6401

***

--- C ---
Below is a relaxed Ba8CuSi16 crystal, with properties calculated at the PBE-GGA level.

Calculated values
Its size of the total moment is 0.00 μB per cell. The value obtained for the density of states at the Fermi level is 2.9 states/eV/cell.

Cell lengths 6.7473, 9.3110, 11.5406 Å; angles 89.52, 90.00, 90.00 degrees
Fractional coordinates of all 25 atoms:
Ba1 0.5000 0.0166 0.6905
Ba2 0.0000 0.4883 0.1916
Ba3 0.0000 0.9930 0.3060
Ba4 0.5000 0.5105 0.8115
Ba5 0.5000 0.8324 0.0856
Ba6 0.0000 0.6515 0.5937
Ba7 0.0000 0.1481 0.9044
Ba8 0.5000 0.3663 0.4149
Cu1 0.5000 0.0779 0.2760
Si1 0.5000 0.4085 0.0944
Si2 0.0000 0.0931 0.5911
Si3 0.0000 0.5900 0.9088
Si4 0.5000 0.9008 0.4088
Si5 0.5000 0.1947 0.9696
Si6 0.0000 0.3047 0.4670
Si7 0.0000 0.8020 0.0317
Si8 0.5000 0.6989 0.5368
Si9 0.3008 0.2007 0.1425
Si10 0.1782 0.3081 0.6484
Si11 0.8217 0.8050 0.8503
Si12 0.6815 0.6896 0.3551
Si13 0.1783 0.8050 0.8503
Si14 0.3185 0.6896 0.3551
Si15 0.6992 0.2007 0.1425
Si16 0.8218 0.3081 0.6484

***

The winner here is C, beating the second structure by 94 meV per atom.

***

--- A ---
Below is a relaxed Ba2CuSi2 crystal, with properties calculated at the PBE-GGA level.

Calculated values
Its size of the total moment is 0.00 μB per cell. The value obtained for the density of states at the Fermi level is 2.7 states/eV/cell.

Cell lengths 4.7034, 4.3386, 7.4387 Å; angles 106.96, 90.00, 90.00 degrees
Fractional coordinates of all 5 atoms:
Ba1 0.0000 0.6897 0.3795
Ba2 0.0000 0.9266 0.8532
Cu1 0.5000 0.0762 0.1523
Si1 0.5000 0.3396 0.6791
Si2 0.5000 0.5100 0.0200

***

--- B ---
Below is a relaxed Ba2CuSi2 crystal, with properties calculated at the PBE-GGA level.

Calculated values
Its size of the total moment is 0.00 μB per cell. The value obtained for the density of states at the Fermi level is 7.0 states/eV/cell.

Cell lengths 8.1686, 8.1686, 4.6116 Å; angles 90.00, 90.00, 90.00 degrees
Fractional coordinates of all 10 atoms:
Si1 0.4013 0.9013 0.0000
Si2 0.9013 0.5987 0.0000
Si3 0.5987 0.0987 0.0000
Si4 0.0987 0.4013 0.0000
Ba1 0.1907 0.6907 0.5000
Ba2 0.6907 0.8093 0.5000
Ba3 0.8093 0.3093 0.5000
Ba4 0.3093 0.1907 0.5000
Cu1 0.0000 0.0000 0.0000
Cu2 0.5000 0.5000 0.0000

***

The winner here is A, beating the second structure by 169 meV per atom.

***

--- A ---
Below is a relaxed BaSmCu crystal, with properties calculated at the PBE-GGA level.

Calculated values
Its size of the total moment is 0.00 μB per cell. The value obtained for the density of states at the Fermi level is 3.4 states/eV/cell.

Cell lengths 3.7905, 3.7905, 7.3483 Å; angles 104.95, 104.95, 90.00 degrees
Fractional coordinates of all 3 atoms:
Cu1 0.6905 0.6905 0.3811
Ba1 0.0249 0.0249 0.0498
Sm1 0.2846 0.2846 0.5692

***

--- B ---
Below is a relaxed BaSmCu crystal, with properties calculated at the PBE-GGA level.

Calculated values
Its size of the total moment is 0.00 μB per cell. The value obtained for the density of states at the Fermi level is 7.4 states/eV/cell.

Cell lengths 5.3520, 3.7808, 13.6491 Å; angles 90.00, 90.00, 135.06 degrees
Fractional coordinates of all 6 atoms:
Cu1 0.6925 0.3851 0.0000
Cu2 0.1960 0.3919 0.5000
Ba1 0.6958 0.3916 0.3557
Ba2 0.6958 0.3916 0.6443
Sm1 0.1933 0.3865 0.8859
Sm2 0.1933 0.3865 0.1141

***

The winner here is A, beating the second structure by 30 meV per atom.

***

--- A ---
Below is a relaxed Ba3SrCu crystal, with properties calculated at the PBE-GGA level.

Calculated values
Its size of the total moment is 0.00 μB per cell. The value obtained for the density of states at the Fermi level is 10.3 states/eV/cell.

Cell lengths 4.5763, 10.7718, 11.8990 Å; angles 121.30, 90.00, 90.00 degrees
Fractional coordinates of all 10 atoms:
Ba1 0.2500 0.6088 0.2707
Ba2 0.7500 0.3912 0.7293
Ba3 0.2500 0.0451 0.6669
Ba4 0.7500 0.2271 0.0189
Ba5 0.7500 0.9549 0.3332
Ba6 0.2500 0.7729 0.9811
Sr1 0.7500 0.6990 0.6214
Sr2 0.2500 0.3010 0.3786
Cu1 0.7500 0.5654 0.0450
Cu2 0.2500 0.4346 0.9550

***

--- B ---
Below is a relaxed Ba3SrCu crystal, with properties calculated at the PBE-GGA level.

Calculated values
Its size of the total moment is 0.00 μB per cell. The value obtained for the density of states at the Fermi level is 3.7 states/eV/cell.

Cell lengths 6.4526, 6.4526, 6.4526 Å; angles 90.00, 90.00, 90.00 degrees
Fractional coordinates of all 5 atoms:
Sr1 0.5000 0.5000 0.5000
Ba1 0.0000 0.5000 0.0000
Ba2 0.0000 0.0000 0.5000
Ba3 0.5000 0.0000 0.0000
Cu1 0.0000 0.0000 0.0000

***

The winner here is B, beating the second structure by 8 meV per atom.

***

--- A ---
Below is a relaxed BaSrCu4 crystal, with properties calculated at the PBE-GGA level.

Calculated values
Its size of the total moment is 0.00 μB per cell. The value obtained for the density of states at the Fermi level is 2.1 states/eV/cell.

Cell lengths 4.3558, 6.1613, 6.1618 Å; angles 89.85, 69.30, 69.30 degrees
Fractional coordinates of all 6 atoms:
Ba1 0.0000 0.5000 0.0000
Sr1 0.0000 0.0000 0.5000
Cu1 0.6665 0.5873 0.5796
Cu2 0.3335 0.4127 0.4204
Cu3 0.3335 0.9204 0.9126
Cu4 0.6665 0.0796 0.0874

***

--- B ---
Below is a relaxed BaSrCu4 crystal, with properties calculated at the PBE-GGA level.

Calculated values
Its size of the total moment is 0.00 μB per cell. The value obtained for the density of states at the Fermi level is 3.6 states/eV/cell.

Cell lengths 5.6341, 5.6341, 5.6341 Å; angles 60.00, 60.00, 60.00 degrees
Fractional coordinates of all 6 atoms:
Ba1 0.0000 0.0000 0.0000
Sr1 0.7500 0.7500 0.7500
Cu1 0.8547 0.3818 0.3818
Cu2 0.3818 0.3818 0.8547
Cu3 0.3818 0.8547 0.3818
Cu4 0.3818 0.3818 0.3818

***

The winner here is A, beating the second structure by 160 meV per atom.